A geometry-optimized LiTc2Hg structure. Source: Alexandria via LeMat-Bulk, functional PBE.

Lattice parameters (Å, degrees): 4.997 9.234 2.740 90.00 90.00 90.00
Space group Cmmm (No. 65)
Symmetry-distinct sites (fractional):
Li  0.000  0.000  0.000 x2
Tc  0.250  0.250  0.500 x4
Hg  0.000  0.500  0.000 x2

Calculated volume: 15.8 A^3/atom
Spin magnetization: 0.00 μB per formula unit
Mass density: 10.600 g/cm3
Energy of formation from the pure elements: 0.46 eV/atom
Fermi-level density of states: 3.9 states/eV/f.u.